UMn4CdS8 | PBE-GGA | relaxed

For the formation energy (no corrections), the calculation gives -0.71 eV/atom. The total magnetization is 20.01 μB per formula unit. The space group is R3m (160). The total energy is -91.9 eV for the cell shown.

The structure in POSCAR format:
```
UMn4CdS8
1.0
7.4780 0.0000 0.0000
3.7390 6.4761 0.0000
3.7390 2.1587 6.1995
S Mn U Cd
8 4 1 1
Direct
0.2473 0.7787 0.7266 S
0.2373 0.7503 0.2622 S
0.7626 0.7626 0.7121 S
0.7787 0.2473 0.7266 S
0.7503 0.7503 0.2622 S
0.2315 0.2315 0.3054 S
0.2473 0.2473 0.7266 S
0.7503 0.2373 0.2622 S
0.9989 0.5003 0.5018 Mn
0.6320 0.6320 0.1040 Mn
0.5003 0.9989 0.5018 Mn
0.9989 0.9989 0.5018 Mn
0.9994 0.9994 0.0017 U
0.3650 0.3650 0.9051 Cd
```